Record 1
This record from the Alexandria database describes a crystal of ZrOsPb relaxed with PBEsol. The functional is meta-GGA SCAN.

Unit cell a=3.1028 b=4.6345 c=4.6345 alpha=120.00 beta=90.00 gamma=90.00
Element x y z (fractional)
1 Pb 0.8219 0.3333 0.6667
2 Zr 0.3069 0.6667 0.3333
3 Os 0.8713 0.0000 0.0000

Computed properties:
- Total DFT energy (no corrections): -178.23 eV/f.u.
- Space group: P3m1 (156)
- Energy above the most stable polymorph in this dataset: 0.000 eV per formula unit
- Energy of formation from the pure elements: 0.044 eV per atom


Record 2
This record from the Alexandria database describes a crystal of AlIn2CN relaxed with PBEsol. The functional is meta-GGA SCAN.

Unit cell a=2.5714 b=5.9927 c=5.9927 alpha=90.00 beta=90.00 gamma=90.00
Element x y z (fractional)
1 N 0.5000 0.0000 0.0000
2 In 0.0000 0.0000 0.5000
3 In 0.0000 0.5000 0.0000
4 C 0.0000 0.0000 0.0000
5 Al 0.5000 0.5000 0.5000

Computed properties:
- Total DFT energy (no corrections): -89.44 eV/f.u.
- Space group: P4/mmm (123)
- Formation energy (no corrections): 86.3 kJ per mole of atoms


Record 3
This record from the Alexandria database describes a crystal of HfTi3Ag relaxed with PBEsol. The functional is meta-GGA SCAN.

Unit cell a=4.7479 b=4.7479 c=4.7479 alpha=90.00 beta=90.00 gamma=90.00
Each line ends with the local moment (μB).
Element x y z (fractional)
1 Ag 0.5000 0.5000 0.5000  0.02
2 Ti 0.0000 0.0000 0.5000  0.46
3 Ti 0.0000 0.5000 0.0000  0.46
4 Ti 0.5000 0.0000 0.0000  0.46
5 Hf 0.0000 0.0000 0.0000  0.05

Computed properties:
- Total DFT energy (no corrections): -136.00 eV/f.u.
- Space group: Pm-3m (221)
- Energy of formation from the pure elements: 1.225 eV per atom


Record 4
This record from the Alexandria database describes a crystal of Mn3NiGe relaxed with PBEsol. The functional is meta-GGA SCAN.

Unit cell a=4.3709 b=4.3709 c=4.3709 alpha=90.00 beta=90.00 gamma=90.00
Each line ends with the local moment (μB).
Element x y z (fractional)
1 Mn 0.5000 0.0000 0.0000  3.94
2 Ni 0.0000 0.0000 0.0000  0.75
3 Mn 0.0000 0.0000 0.5000  3.94
4 Ge 0.5000 0.5000 0.5000  -0.14
5 Mn 0.0000 0.5000 0.0000  3.94

Computed properties:
- Total DFT energy (no corrections): -88.01 eV/f.u.
- Space group: Pm-3m (221)
- Energy of formation from the pure elements: 0.403 eV per atom